# HfAgSCl2 (PBE, relaxed)
data_HfAgSCl2
_chemical_formula_sum 'Hf1 Ag1 S1 Cl2'
_space_group_name_H-M_alt 'P 1'
_space_group_IT_number 1
_cell_length_a 4.978
_cell_length_b 4.978
_cell_length_c 4.934
_cell_angle_alpha 90.00
_cell_angle_beta 90.00
_cell_angle_gamma 90.00
loop_
_space_group_symop_operation_xyz
'x,y,z'
loop_
_atom_site_label
_atom_site_fract_x
_atom_site_fract_y
_atom_site_fract_z
Hf1 0.000 0.000 0.000
Ag1 0.500 0.500 0.500
S1 0.000 0.000 0.500
Cl1 0.000 0.500 0.000
Cl2 0.500 0.000 0.000
# - Fermi-level density of states (states/eV/cell) = 2.1
# - SG = No. 123
# - relative energy among the computed polymorphs (meV per atom) = 0
# - ΔE_f (raw) (eV per atom) = -0.78
# - total energy (eV/cell) = -24.5